No. 1
Here is a relaxed structure of TbDy2Sn4Au4 from OQMD via LeMat-Bulk. Energies are from PBE-GGA.

abc: 8.867 8.867 8.867
angles: 150.15 131.56 57.94
Element x y z (fractional)
Tb1 0.000 0.000 0.000
Dy1 0.371 0.871 0.500
Dy2 0.628 0.128 0.500
Sn1 0.214 0.214 0.000
Sn2 0.303 0.500 0.803
Sn3 0.697 0.500 0.197
Sn4 0.785 0.785 0.000
Au1 0.035 0.331 0.704
Au2 0.372 0.668 0.704
Au3 0.627 0.331 0.296
Au4 0.964 0.668 0.296

Values from the calculation:
The raw total energy comes out at -4.543 eV per atom. As for the space-group type: No. 44. As for the calculated density: 11.253 g cm⁻³.


No. 2
Here is a relaxed structure of ZnGeTe2 from OQMD via LeMat-Bulk. Energies are from PBE-GGA.

abc: 5.170 5.170 5.170
angles: 60.00 60.00 60.00
Element x y z (fractional)
Zn1 0.000 0.000 0.000
Ge1 0.250 0.250 0.250
Te1 0.500 0.500 0.500
Te2 0.750 0.750 0.750

Values from the calculation:
The raw total energy comes out at -2.680 eV per atom. As for the space-group type: No. 216. As for the calculated density: 6.682 g cm⁻³.


No. 3
Here is a relaxed structure of Sc3Co2Ge3 from OQMD via LeMat-Bulk. Energies are from PBE-GGA.

abc: 5.340 5.340 13.270
angles: 90.00 90.00 135.56
Element x y z (fractional)
Sc1 0.079 0.921 0.611
Sc2 0.079 0.921 0.889
Sc3 0.353 0.647 0.750
Sc4 0.647 0.353 0.250
Sc5 0.921 0.079 0.111
Sc6 0.921 0.079 0.389
Co1 0.209 0.791 0.098
Co2 0.209 0.791 0.402
Co3 0.791 0.209 0.598
Co4 0.791 0.209 0.902
Ge1 0.347 0.653 0.250
Ge2 0.377 0.623 0.540
Ge3 0.377 0.623 0.960
Ge4 0.623 0.377 0.040
Ge5 0.623 0.377 0.460
Ge6 0.653 0.347 0.750

Values from the calculation:
The raw total energy comes out at -6.626 eV per atom. As for the space-group type: No. 63. As for the calculated density: 5.900 g cm⁻³.


No. 4
Here is a relaxed structure of Na4ZnO3 from OQMD via LeMat-Bulk. Energies are from PBE-GGA.

abc: 6.218 6.218 7.983
angles: 110.58 110.58 55.10
Element x y z (fractional)
Na1 0.013 0.342 0.408
Na2 0.161 0.839 0.500
Na3 0.243 0.566 0.814
Na4 0.342 0.013 0.908
Na5 0.377 0.809 0.214
Na6 0.566 0.243 0.314
Na7 0.809 0.377 0.714
Na8 0.839 0.161 0.000
Zn1 0.616 0.918 0.619
Zn2 0.918 0.616 0.119
O1 0.184 0.264 0.170
O2 0.264 0.184 0.670
O3 0.600 0.602 0.472
O4 0.602 0.600 0.972
O5 0.926 0.944 0.706
O6 0.944 0.926 0.206

Values from the calculation:
The raw total energy comes out at -3.989 eV per atom. As for the space-group type: No. 9. The calculation puts the energy above the most stable polymorph in this dataset at 1 meV per atom. As for the calculated density: 2.935 g cm⁻³.


No. 5
Here is a relaxed structure of TaZnCoGe from OQMD via LeMat-Bulk. Energies are from PBE-GGA.

abc: 4.351 4.351 4.351
angles: 60.00 60.00 60.00
Element x y z (fractional)
Ta1 0.000 0.000 0.000
Zn1 0.750 0.750 0.750
Co1 0.500 0.500 0.500
Ge1 0.250 0.250 0.250

Values from the calculation:
The raw total energy comes out at -6.030 eV per atom. As for the space-group type: No. 216. The calculation puts the energy above the most stable polymorph in this dataset at 12 meV per atom. As for the calculated density: 10.772 g cm⁻³.


No. 6
Here is a relaxed structure of TmNpCo from OQMD via LeMat-Bulk. Energies are from PBE-GGA.

abc: 4.559 4.559 4.559
angles: 60.00 60.00 60.00
Element x y z (fractional)
Tm1 0.000 0.000 0.000
Np1 0.500 0.500 0.500
Co1 0.750 0.750 0.750

Values from the calculation:
The raw total energy comes out at -7.837 eV per atom. As for the space-group type: No. 216. For the energy of formation from the pure elements, the calculation gives 0.281 eV/atom. The calculation puts the energy above the most stable polymorph in this dataset at 0 meV per atom. As for the calculated density: 11.524 g cm⁻³.


No. 7
Here is a relaxed structure of SrHfGe from OQMD via LeMat-Bulk. Energies are from PBE-GGA.

abc: 4.872 4.872 4.872
angles: 60.00 60.00 60.00
Element x y z (fractional)
Sr1 0.000 0.000 0.000
Hf1 0.500 0.500 0.500
Ge1 0.750 0.750 0.750

Values from the calculation:
The raw total energy comes out at -5.270 eV per atom. As for the space-group type: No. 216. The calculation puts the energy above the most stable polymorph in this dataset at 0 meV per atom. As for the calculated density: 6.877 g cm⁻³.


No. 8
Here is a relaxed structure of LuTaNiSb from OQMD via LeMat-Bulk. Energies are from PBE-GGA.

abc: 4.734 4.734 4.734
angles: 60.00 60.00 60.00
Element x y z (fractional)
Lu1 0.000 0.000 0.000
Ta1 0.250 0.250 0.250
Ni1 0.750 0.750 0.750
Sb1 0.500 0.500 0.500

Values from the calculation:
The raw total energy comes out at -6.292 eV per atom. As for the space-group type: No. 216. The calculation puts the energy above the most stable polymorph in this dataset at 0 meV per atom. As for the calculated density: 11.871 g cm⁻³.


What did the first record say?
Here is a relaxed structure of TbDy2Sn4Au4 from OQMD via LeMat-Bulk. Energies are from PBE-GGA.

abc: 8.867 8.867 8.867
angles: 150.15 131.56 57.94
Element x y z (fractional)
Tb1 0.000 0.000 0.000
Dy1 0.371 0.871 0.500
Dy2 0.628 0.128 0.500
Sn1 0.214 0.214 0.000
Sn2 0.303 0.500 0.803
Sn3 0.697 0.500 0.197
Sn4 0.785 0.785 0.000
Au1 0.035 0.331 0.704
Au2 0.372 0.668 0.704
Au3 0.627 0.331 0.296
Au4 0.964 0.668 0.296

Values from the calculation:
The raw total energy comes out at -4.543 eV per atom. As for the space-group type: No. 44. As for the calculated density: 11.253 g cm⁻³.


Q: The highest calculated density belongs to which entry?
A: LuTaNiSb